# Co2SbOs

Co2SbOs after structural relaxation (PBE, Alexandria via LeMat-Bulk).

Output
As for the final energy: -7.063 eV per atom. As for the uncorrected formation energy: 7.56 kcal/mol of atoms. The magnetization is 0.14 μB per atom.

abc: 4.4652 4.4652 4.6659
angles: 79.48 79.48 38.01
Closest atoms and distances in Å follow each position.
Positions (direct):
Co  0.0040  0.0040  0.9788  2 Os 2.50, 3 Co 2.57-2.59, 3 Sb 2.58-2.64
Co  0.7504  0.7504  0.7496  3 Os 2.53-2.54, 3 Co 2.57-2.59, 2 Sb 2.65
Os  0.4929  0.4929  0.5473  5 Co 2.50-2.54, 1 Sb 2.75
Sb  0.2527  0.2527  0.2242  7 Co 2.58-2.85, 3 Os 2.75-2.81